PBE+U PuTlVO5, relaxed; raw total energy = -8.27 eV/atom; DOS at the Fermi energy = 9.45 states/eV per cell
1.0
3.818 -5.034 0.000
3.818 5.034 0.000
-3.418 0.000 7.241
Pu Tl V O
2 2 2 10
Direct
0.000 0.000 0.000 Pu
0.000 0.000 0.500 Pu
0.331 0.669 0.750 Tl
0.669 0.331 0.250 Tl
0.313 0.687 0.250 V
0.687 0.313 0.750 V
0.062 0.938 0.750 O
0.132 0.710 0.384 O
0.229 0.395 0.109 O
0.290 0.868 0.116 O
0.395 0.229 0.609 O
0.605 0.771 0.391 O
0.710 0.132 0.884 O
0.771 0.605 0.891 O
0.868 0.290 0.616 O
0.938 0.062 0.250 O

***

PBE+U PuTl2WO6, relaxed; raw total energy = -7.52 eV/atom; DOS at the Fermi energy = 3.12 states/eV per cell
1.0
0.000 4.224 4.224
4.224 0.000 4.224
4.224 4.224 0.000
Pu Tl W O
1 2 1 6
Direct
0.000 0.000 0.000 Pu
0.250 0.250 0.250 Tl
0.750 0.750 0.750 Tl
0.500 0.500 0.500 W
0.267 0.267 0.733 O
0.267 0.733 0.267 O
0.267 0.733 0.733 O
0.733 0.267 0.267 O
0.733 0.267 0.733 O
0.733 0.733 0.267 O

***

Q: Among the records above, which one has the highest DOS at the Fermi energy?
A: PuTlVO5

***

Q: What is the DOS at the Fermi energy in the first record?
A: 9.45 states/eV per cell

***

Q: Number 2 is which compound?
A: PuTl2WO6

***

Q: Number 2 is which compound?
A: PuTl2WO6